V2RuRh3 | the Alexandria database | PBE-GGA | relaxed; formation energy from the elements = -300 meV per atom; total moment = 0.0 μB per cell
1.0
4.689 0.000 0.000
0.000 2.714 0.000
-1.380 0.000 6.501
V Ru Rh
2 1 3
Direct
0.228 0.000 0.174
0.772 0.000 0.826
0.000 0.000 0.500
0.265 0.500 0.843
0.500 0.500 0.500
0.735 0.500 0.157